An optimized crystal structure of MgC, computed with PBE.

```
data_MgC
_chemical_formula_sum 'Mg3 C3'
_space_group_name_H-M_alt 'P -6 2 m'
_space_group_IT_number 189
_space_group_name_Hall 'P -6 -2'
_cell_length_a 5.8515
_cell_length_b 5.8515
_cell_length_c 2.7647
_cell_angle_alpha 90.00
_cell_angle_beta 90.00
_cell_angle_gamma 120.00
loop_
_atom_site_label
_atom_site_fract_x
_atom_site_fract_y
_atom_site_fract_z
Mg1 0.0000 0.3869 0.0000
C1 0.0000 0.0000 0.0000
C2 0.3333 0.6667 0.5000
```

ΔE_f: 1451 meV per atom
Energy above the most stable polymorph in this dataset: 2.30 eV/f.u.
Density: 2.21 g cm⁻³
Raw total energy: -3.958 eV per atom
DOS at the Fermi energy: 1.3 states/eV/f.u.


An optimized crystal structure of MgC2, computed with PBE.

```
data_MgC2
_chemical_formula_sum 'Mg2 C4'
_space_group_name_H-M_alt 'P 63/m m c'
_space_group_IT_number 194
_space_group_name_Hall '-P 6c 2c'
_cell_length_a 3.3405
_cell_length_b 3.3405
_cell_length_c 8.4031
_cell_angle_alpha 90.00
_cell_angle_beta 90.00
_cell_angle_gamma 120.00
loop_
_atom_site_label
_atom_site_fract_x
_atom_site_fract_y
_atom_site_fract_z
Mg1 0.3333 0.6667 0.2500
C1 0.0000 0.0000 0.0741
```

ΔE_f: 863 meV per atom
Energy above the most stable polymorph in this dataset: 1.30 eV/f.u.
Density: 1.98 g cm⁻³
Raw total energy: -5.818 eV per atom
DOS at the Fermi energy: 0.8 states/eV/f.u.


An optimized crystal structure of MgC, computed with PBE.

```
data_MgC
_chemical_formula_sum 'Mg6 C6'
_space_group_name_H-M_alt 'P 63/m'
_space_group_IT_number 176
_space_group_name_Hall '-P 6c'
_cell_length_a 8.3323
_cell_length_b 8.3323
_cell_length_c 2.6464
_cell_angle_alpha 90.00
_cell_angle_beta 90.00
_cell_angle_gamma 120.00
loop_
_atom_site_label
_atom_site_fract_x
_atom_site_fract_y
_atom_site_fract_z
Mg1 0.2002 0.4027 0.2500
C1 0.0478 0.5418 0.7500
```

ΔE_f: 591 meV per atom
Energy above the most stable polymorph in this dataset: 0.58 eV/f.u.
Density: 2.27 g cm⁻³
Raw total energy: -4.818 eV per atom
DOS at the Fermi energy: 0.4 states/eV/f.u.


Which of these has the lowest DOS at the Fermi energy? number 3


Repeat the first record exactly.
An optimized crystal structure of MgC, computed with PBE.

```
data_MgC
_chemical_formula_sum 'Mg3 C3'
_space_group_name_H-M_alt 'P -6 2 m'
_space_group_IT_number 189
_space_group_name_Hall 'P -6 -2'
_cell_length_a 5.8515
_cell_length_b 5.8515
_cell_length_c 2.7647
_cell_angle_alpha 90.00
_cell_angle_beta 90.00
_cell_angle_gamma 120.00
loop_
_atom_site_label
_atom_site_fract_x
_atom_site_fract_y
_atom_site_fract_z
Mg1 0.0000 0.3869 0.0000
C1 0.0000 0.0000 0.0000
C2 0.3333 0.6667 0.5000
```

ΔE_f: 1451 meV per atom
Energy above the most stable polymorph in this dataset: 2.30 eV/f.u.
Density: 2.21 g cm⁻³
Raw total energy: -3.958 eV per atom
DOS at the Fermi energy: 1.3 states/eV/f.u.


Among the records above, which one has the lowest ΔE_f? number 3